# 1
A relaxed Ag3PIr crystal, computed with PBE-GGA.

The structure belongs to space group Pm-3m (No. 221); the cell edges are 4.604, 4.604 and 4.604 Å and the angles 90.00°, 90.00° and 90.00°. The distinct sites, in fractional coordinates, are Ag at (0.000, 0.000, 0.500), P at (0.000, 0.000, 0.000) and Ir at (0.500, 0.500, 0.500).

Its crystal system is cubic. The value obtained for the total energy is -3.600 eV per atom.

=====

# 2
A relaxed AgPIr2 crystal, computed with PBE-GGA.

The structure belongs to space group I-42d (No. 122); the cell edges are 6.947, 6.947 and 5.300 Å and the angles 90.00°, 90.00° and 90.00°. The distinct sites, in fractional coordinates, are Ag at (0.000, 0.000, 0.000), P at (0.000, 0.000, 0.500) and Ir at (0.183, 0.250, 0.625).

Its crystal system is tetragonal. The value obtained for the total energy is -6.417 eV per atom.

=====

# 3
A relaxed Ag2PIr crystal, computed with PBE-GGA.

The structure belongs to space group I4/mmm (No. 139); the cell edges are 3.697, 3.697 and 9.385 Å and the angles 90.00°, 90.00° and 90.00°. The distinct sites, in fractional coordinates, are Ag at (0.000, 0.500, 0.250), P at (0.000, 0.000, 0.000) and Ir at (0.000, 0.000, 0.500).

Its crystal system is tetragonal. The value obtained for the total energy is -4.593 eV per atom.

=====

# 4
A relaxed Ag2PIr crystal, computed with PBE-GGA.

The structure belongs to space group Immm (No. 71); the cell edges are 2.952, 3.705 and 12.814 Å and the angles 90.00°, 90.00° and 90.00°. The distinct sites, in fractional coordinates, are Ag at (0.000, 0.000, 0.185), P at (0.000, 0.500, 0.500) and Ir at (0.000, 0.500, 0.000).

Its crystal system is orthorhombic. The value obtained for the total energy is -4.790 eV per atom.

=====

# 5
A relaxed AgPIr2 crystal, computed with PBE-GGA.

The structure belongs to space group Pmmm (No. 47); the cell edges are 2.805, 4.598 and 4.748 Å and the angles 90.00°, 90.00° and 90.00°. The distinct sites, in fractional coordinates, are Ag at (0.000, 0.000, 0.000), P at (0.500, 0.000, 0.500), Ir at (0.000, 0.500, 0.500) and Ir at (0.500, 0.500, 0.000).

Its crystal system is orthorhombic. The value obtained for the total energy is -5.964 eV per atom.

=====

# 6
A relaxed AgPIr2 crystal, computed with PBE-GGA.

The structure belongs to space group Cm (No. 8); the cell edges are 10.031, 2.835 and 5.244 Å and the angles 90.00°, 116.90° and 90.00°. The distinct sites, in fractional coordinates, are Ag at (0.000, 0.000, 0.000), P at (0.325, 0.500, 0.266), Ir at (0.033, 0.500, 0.543) and Ir at (0.257, 0.000, 0.547).

Its crystal system is monoclinic. The value obtained for the total energy is -6.354 eV per atom.